<P>
The following is a DFT calculation (PBE) of a relaxed structure of La4NiAg2.

Results
As for the space group: No. 63.

Cell lengths 5.6874, 5.6874, 17.1956 Å; angles 90.00, 90.00, 133.71 degrees
Fractional coordinates of all 14 atoms:
La  0.0000  0.0000  0.0000
La  0.0000  0.0000  0.5000
La  0.3426  0.6574  0.6465
La  0.3426  0.6574  0.8535
La  0.3740  0.6260  0.2500
La  0.6260  0.3740  0.7500
La  0.6574  0.3426  0.1465
La  0.6574  0.3426  0.3535
Ni  0.0784  0.9216  0.2500
Ni  0.9216  0.0784  0.7500
Ag  0.3079  0.6921  0.0495
Ag  0.3079  0.6921  0.4505
Ag  0.6921  0.3079  0.5495
Ag  0.6921  0.3079  0.9505


<Q>
The following is a DFT calculation (PBE) of a relaxed structure of La4NiAg2.

Results
As for the space group: No. 139.

Cell lengths 5.2976, 5.2976, 15.7781 Å; angles 90.00, 90.00, 90.00 degrees
Fractional coordinates of all 14 atoms:
La  0.0000  0.0000  0.1869
La  0.0000  0.0000  0.8131
La  0.0000  0.5000  0.0000
La  0.0000  0.5000  0.5000
La  0.5000  0.0000  0.0000
La  0.5000  0.0000  0.5000
La  0.5000  0.5000  0.3131
La  0.5000  0.5000  0.6869
Ni  0.0000  0.0000  0.0000
Ni  0.5000  0.5000  0.5000
Ag  0.0000  0.0000  0.3769
Ag  0.0000  0.0000  0.6231
Ag  0.5000  0.5000  0.1231
Ag  0.5000  0.5000  0.8769


Stability check: which of them is least stable? <Q>.